1.
A geometry-optimized ZrCoP2 structure, computed with PBEsol.

Cell: 3.565 3.565 5.039 Å, 110.71 110.71 90.00°
Fractional positions:
Zr1 0.500 0.500 0.000
Co1 0.250 0.750 0.500
P1 0.750 0.250 0.500
P2 0.000 0.000 0.000

Computed properties:
The value obtained for the energy relative to the elements is -514 meV per atom. Its energy relative to the lowest polymorph listed for this composition is 130 meV/atom. The value obtained for the density of states at the Fermi level is 3.0 states/eV per cell.

2.
A geometry-optimized ZrSi2Tc structure, computed with PBEsol.

Cell: 3.178 3.178 5.943 Å, 90.00 90.00 90.00°
Fractional positions:
Si1 0.000 0.000 0.032
Tc1 0.000 0.000 0.449
Si2 0.500 0.500 0.263
Zr1 0.500 0.500 0.756

Computed properties:
Its energy relative to the lowest polymorph listed for this composition is 0 meV/atom. Its uncorrected formation energy is -0.58 eV per atom. The value obtained for the density of states at the Fermi level is 1.6 states/eV per cell.